Here is an optimized crystal structure of HgAuBr2 from Alexandria via LeMat-Bulk. Energies are from GGA-PBE.

Lattice parameters (Å, degrees): 7.9260 7.9260 7.9260 130.43 130.43 72.72
Closest atoms and distances in Å follow each position.
Fractional positions:
Hg: 0.0000 0.0000 0.0000  4 Br 3.00
Hg: 0.7500 0.2500 0.5000  4 Br 3.00
Au: 0.2500 0.7500 0.5000  4 Br 2.70
Au: 0.5000 0.5000 0.0000  4 Br 2.70
Br: 0.1634 0.6250 0.0384  2 Au 2.70, 2 Hg 3.00
Br: 0.3750 0.4134 0.5384  2 Au 2.70, 2 Hg 3.00
Br: 0.5866 0.1250 0.9616  2 Au 2.70, 2 Hg 3.00
Br: 0.8750 0.8366 0.4616  2 Au 2.70, 2 Hg 3.00

Results
The space-group type is I-42d (122). As for the raw formation energy: 8 kJ/mol of formula units. The value obtained for the magnetization is 0.00 μB per formula unit.